(1)
A relaxed structure of Ta2Al3Rh, computed with GGA-PBE.

a b c (Å): 5.180 5.180 7.993
angles (deg): 90.00 90.00 120.00
Sites, in units of the cell vectors:
1 Ta 0.333 0.667 0.071
2 Ta 0.333 0.667 0.429
3 Ta 0.667 0.333 0.571
4 Ta 0.667 0.333 0.929
5 Al 0.170 0.340 0.750
6 Al 0.170 0.830 0.750
7 Al 0.340 0.170 0.250
8 Al 0.660 0.830 0.750
9 Al 0.830 0.170 0.250
10 Al 0.830 0.660 0.250
11 Rh 0.000 0.000 0.000
12 Rh 0.000 0.000 0.500

## Properties
The value obtained for the total energy is -7.608 eV per atom. Its formation energy is -0.56 eV/atom. As for the crystal system: hexagonal. The calculated volume comes out at 92.9 Å³/f.u.

(2)
A relaxed structure of NaNbO2, computed with GGA-PBE.

a b c (Å): 2.729 2.729 5.874
angles (deg): 90.00 90.00 90.00
Sites, in units of the cell vectors:
1 Na 0.000 0.000 0.000
2 Nb 0.000 0.000 0.500
3 O 0.500 0.500 0.288
4 O 0.500 0.500 0.712

## Properties
The value obtained for the total energy is -7.066 eV per atom. As for the crystal system: tetragonal. The calculated volume comes out at 43.8 Å³/f.u.

(3)
A relaxed structure of Ce2PuGa, computed with GGA-PBE.

a b c (Å): 7.315 7.315 7.315
angles (deg): 90.00 90.00 90.00
Sites, in units of the cell vectors:
1 Ce 0.250 0.250 0.250
2 Ce 0.250 0.250 0.750
3 Ce 0.250 0.750 0.250
4 Ce 0.250 0.750 0.750
5 Ce 0.750 0.250 0.250
6 Ce 0.750 0.250 0.750
7 Ce 0.750 0.750 0.250
8 Ce 0.750 0.750 0.750
9 Pu 0.000 0.000 0.000
10 Pu 0.000 0.500 0.500
11 Pu 0.500 0.000 0.500
12 Pu 0.500 0.500 0.000
13 Ga 0.000 0.000 0.500
14 Ga 0.000 0.500 0.000
15 Ga 0.500 0.000 0.000
16 Ga 0.500 0.500 0.500

## Properties
The value obtained for the total energy is -7.501 eV per atom. Its formation energy is -0.19 eV/atom. As for the energy above the most stable polymorph in this dataset: 49 meV/atom. As for the crystal system: cubic. The calculated volume comes out at 97.8 Å³/f.u.

Q: Which formula does entry 2 have?
A: NaNbO2

Q: Among the records above, which one has the highest calculated volume?
A: Ce2PuGa